The following is a DFT calculation (PBE+U) of a relaxed structure of VAgN2O.

Structure (POSCAR):
```
VAgN2O
1.0
-0.016 2.640 -2.879
-1.675 -2.606 -2.380
-3.425 1.188 1.109
N Ag O V
2 1 1 1
Cartesian
-0.837 -1.303 -1.190
-0.008 1.320 -1.439
-2.558 0.611 -2.075
-1.712 0.594 0.554
0.000 0.000 0.000
```

Output
crystal system = tetragonal
density = 5.823 g/cm3
VASP energy = -29.87 eV for the cell shown



The following is a DFT calculation (PBE+U) of a relaxed structure of VAgN2O.

Structure (POSCAR):
```
VAgN2O
1.0
-1.308 -3.497 1.403
3.073 -0.131 2.539
-2.300 2.019 2.887
O N V Ag
1 2 1 1
Cartesian
-1.150 1.009 1.443
-0.654 -1.748 0.702
1.536 -0.065 1.270
-0.267 -0.804 3.415
0.000 0.000 0.000
```

Output
crystal system = tetragonal
density = 5.033 g/cm3
VASP energy = -24.21 eV for the cell shown



The following is a DFT calculation (PBE+U) of a relaxed structure of AgWN2O.

Structure (POSCAR):
```
AgWN2O
1.0
4.022 0.000 0.000
0.000 4.022 0.000
0.000 0.000 3.928
W N Ag O
1 2 1 1
Cartesian
0.000 0.000 0.000
2.011 0.000 0.000
0.000 2.011 0.000
2.011 2.011 1.964
0.000 0.000 1.964
```

Output
crystal system = tetragonal
density = 8.775 g/cm3
VASP energy = -31.25 eV for the cell shown



The following is a DFT calculation (PBE+U) of a relaxed structure of AgWN2O.

Structure (POSCAR):
```
AgWN2O
1.0
-2.068 0.162 3.505
-3.415 -1.027 -1.968
0.765 -3.743 0.625
Ag W N O
1 1 2 1
Cartesian
0.000 0.000 0.000
-2.359 -2.304 1.081
-1.034 0.081 1.753
-1.708 -0.513 -0.984
0.383 -1.871 0.312
```

Output
crystal system = tetragonal
density = 8.680 g/cm3
VASP energy = -22.81 eV for the cell shown